[1]
A relaxed structure of Sm2YTh, computed with GGA-PBE.

a = 23.4895 Å, b = 3.6126 Å, c = 6.2374 Å
α = 90.00°, β = 94.99°, γ = 90.00°
Closest atoms and distances in Å follow each position.
Space group C2/m (No. 12)
One atom of each set of equivalent atoms:
1 Sm 0.1224 0.0000 0.3739 (multiplicity 4)  3 Th 3.54, 4 Y 3.60-3.61, 5 Sm 3.61-3.65
2 Sm 0.2497 0.0000 0.7505 (multiplicity 4)  9 Sm 3.60-3.65, 3 Y 3.64-3.65
3 Y 0.1221 0.5000 0.8744 (multiplicity 4)  3 Th 3.53-3.54, 7 Sm 3.60-3.65, 2 Y 3.61
4 Th 0.0000 0.0000 0.0000 (multiplicity 2)  4 Y 3.53, 2 Sm 3.54, 6 Th 3.60-3.61
5 Th 0.0000 0.5000 0.5000 (multiplicity 2)  2 Y 3.54, 4 Sm 3.54, 6 Th 3.60-3.61

The energy above the most stable polymorph in this dataset is 0.007 eV per atom. As for the formation energy from the elements: 25 meV/atom.

=====

[2]
A relaxed structure of Li7Ag3, computed with GGA-PBE.

a = 14.6759 Å, b = 4.1473 Å, c = 5.7055 Å
α = 90.00°, β = 106.95°, γ = 90.00°
Closest atoms and distances in Å follow each position.
Space group C2/m (No. 12)
One atom of each set of equivalent atoms:
1 Li 0.0000 0.0000 0.0000 (multiplicity 2)  4 Ag 2.79-2.85, 8 Li 2.85-2.97
2 Li 0.1014 0.5000 0.3128 (multiplicity 4)  8 Li 2.81-2.90, 4 Ag 2.93-2.94
3 Li 0.1045 0.5000 0.8097 (multiplicity 4)  5 Ag 2.79-2.86, 7 Li 2.82-2.97
4 Li 0.2011 0.0000 0.6171 (multiplicity 4)  5 Ag 2.75-2.88, 7 Li 2.81-3.04
5 Ag 0.0000 0.0000 0.5000 (multiplicity 2)  12 Li 2.83-2.93
6 Ag 0.1983 0.0000 0.1102 (multiplicity 4)  10 Li 2.75-2.94, 2 Ag 3.05

As for the formation energy from the elements: -155 meV/atom.

=====

[3]
A relaxed structure of IrOs3Au, computed with GGA-PBE.

a = 4.7046 Å, b = 4.7046 Å, c = 4.7046 Å
α = 90.00°, β = 90.00°, γ = 90.00°
Closest atoms and distances in Å follow each position.
Space group Pm-3m (No. 221)
One atom of each set of equivalent atoms:
1 Ir 0.0000 0.0000 0.0000 (multiplicity 1)  6 Os 2.35
2 Os 0.0000 0.0000 0.5000 (multiplicity 3)  2 Ir 2.35
3 Au 0.5000 0.5000 0.5000 (multiplicity 1)  12 Os 3.33

The energy above the most stable polymorph in this dataset is 0.000 eV per atom. As for the formation energy from the elements: 2410 meV/atom.

=====

[4]
A relaxed structure of Tb3Sm6Ho, computed with GGA-PBE.

a = 9.7618 Å, b = 21.2596 Å, c = 6.4184 Å
α = 90.00°, β = 90.00°, γ = 90.00°
Closest atoms and distances in Å follow each position.
Space group Cmc2_1 (No. 36)
One atom of each set of equivalent atoms:
1 Tb 0.0000 0.0797 0.0000 (multiplicity 4)  3 Sm 3.17-3.47, 2 Tb 3.45
2 Tb 0.1678 0.3736 0.4004 (multiplicity 8)  2 Tb 3.28-3.45, 5 Sm 3.29-3.61, 1 Ho 3.52
3 Sm 0.0000 0.1993 0.7061 (multiplicity 4)  1 Tb 3.17, 1 Ho 3.33, 2 Sm 3.50
4 Sm 0.0000 0.4844 0.7298 (multiplicity 4)  4 Sm 3.28-3.63, 1 Ho 3.30, 4 Tb 3.56-3.61
5 Sm 0.1749 0.2190 0.2352 (multiplicity 8)  2 Tb 3.29-3.45, 3 Sm 3.42-3.62, 2 Ho 3.64-3.68
6 Sm 0.1810 0.0606 0.4790 (multiplicity 8)  3 Tb 3.38-3.57, 4 Sm 3.53-3.73, 1 Ho 3.76
7 Ho 0.0000 0.3411 0.9268 (multiplicity 4)  6 Sm 3.30-3.68, 2 Tb 3.52

The energy above the most stable polymorph in this dataset is 0.000 eV per atom. As for the formation energy from the elements: 124 meV/atom.

=====

[5]
A relaxed structure of Zr3AlN, computed with GGA-PBE.

a = 3.3749 Å, b = 11.5961 Å, c = 9.0403 Å
α = 90.00°, β = 90.00°, γ = 90.00°
Closest atoms and distances in Å follow each position.
Space group Cmcm (No. 63)
One atom of each set of equivalent atoms:
1 Zr 0.0000 0.0447 0.2500 (multiplicity 4)  2 N 2.32
2 Zr 0.0000 0.3731 0.0428 (multiplicity 8)  2 N 2.27
3 Al 0.0000 0.2531 0.7500 (multiplicity 4)  8 Zr 2.89-2.99
4 N 0.0000 0.0000 0.0000 (multiplicity 4)  6 Zr 2.27-2.32

The calculation puts the total energy at -170.34 eV per cell.

=====

[6]
A relaxed structure of TbHoEr2, computed with GGA-PBE.

a = 7.9402 Å, b = 7.9402 Å, c = 7.9402 Å
α = 90.00°, β = 90.00°, γ = 90.00°
Closest atoms and distances in Å follow each position.
Space group Fm-3m (No. 225)
One atom of each set of equivalent atoms:
1 Tb 0.0000 0.0000 0.0000 (multiplicity 4)  8 Er 3.44
2 Ho 0.0000 0.0000 0.5000 (multiplicity 4)  8 Er 3.44
3 Er 0.2500 0.2500 0.2500 (multiplicity 8)  4 Tb 3.44, 4 Ho 3.44

The energy above the most stable polymorph in this dataset is 0.137 eV per atom. As for the formation energy from the elements: 141 meV/atom.